VASP calculation (PBE-GGA) on a relaxed TcSn2H crystal.

Calculated values
The value obtained for the raw total energy is -18.30 eV/f.u.

Lattice parameters (Å, degrees): 5.191 5.191 6.989 68.20 68.20 90.00
Sites, in units of the cell vectors:
H  0.500  0.500  0.000
H  0.250  0.750  0.500
Sn  0.542  0.125  0.250
Sn  0.208  0.625  0.250
Sn  0.375  0.458  0.750
Sn  0.875  0.792  0.750
Tc  0.000  0.000  0.000
Tc  0.750  0.250  0.500